Entry 1:
The following is a DFT calculation (PBE) of a relaxed structure of LiCoHgW.

Properties
Symmetry: F-43m (216)
E above lowest polymorph in eV per formula unit: 0.000
Spin magnetization in μB/f.u.: 0.003

Geometry as extended XYZ:
```
4
Lattice="-4.111 -1.176 0.209 -3.077 2.774 -1.078 -2.245 -0.585 -3.598" Properties=species:S:1:pos:R:3 pbc="T T T"
W 0.000 0.000 0.000
Co -2.358 0.253 -1.117
Hg -4.716 0.507 -2.234
Li -7.074 0.760 -3.350
```


Entry 2:
The following is a DFT calculation (PBE) of a relaxed structure of GdLuIn2Ni4.

Properties
E in eV for the cell shown: -40.60
Symmetry: Pmm2 (25)
Spin magnetization in μB/f.u.: 0.001

Geometry as extended XYZ:
```
8
Lattice="-3.332 0.201 -2.188 -1.648 -4.304 2.114 -3.101 3.673 5.060" Properties=species:S:1:pos:R:3 pbc="T T T"
Ni -3.508 2.565 5.578
Gd -2.494 1.082 0.258
Ni -2.839 -1.639 0.532
Ni -4.318 0.447 6.618
Ni -4.409 3.350 3.383
In -2.001 2.370 3.266
Lu -4.782 0.664 3.704
In -1.936 -0.835 2.872
```


Entry 3:
The following is a DFT calculation (PBE) of a relaxed structure of HfTc2Ir.

Properties
Symmetry: F-43m (216)
Formation enthalpy at 0 K in eV per atom: -0.15
Spin magnetization in μB/f.u.: 1.471

Geometry as extended XYZ:
```
4
Lattice="0.198 -4.456 0.548 0.073 -1.754 4.136 -3.575 -2.233 1.557" Properties=species:S:1:pos:R:3 pbc="T T T"
Tc 0.000 0.000 0.000
Ir -1.652 -4.221 3.121
Tc -2.478 -6.332 4.681
Hf -0.826 -2.111 1.560
```


Entry 4:
The following is a DFT calculation (PBE) of a relaxed structure of AcPuCd.

Properties
Symmetry: F-43m (216)
Formation enthalpy at 0 K in eV per atom: 0.57
E above lowest polymorph in eV per formula unit: 0.457
Spin magnetization in μB/f.u.: 6.100

Geometry as extended XYZ:
```
3
Lattice="0.000 3.745 3.745 3.745 0.000 3.745 3.745 3.745 0.000" Properties=species:S:1:pos:R:3 pbc="T T T"
Cd 1.873 1.873 1.873
Ac 0.000 0.000 0.000
Pu 5.618 5.618 5.618
```